VASP calculation (GGA-PBE) on a geometry-optimized KCaDyCl6 structure.

a = 7.1054 Å, b = 7.1054 Å, c = 13.5313 Å
α = 90.00°, β = 90.00°, γ = 120.00°
Element x y z (fractional)
K  0.0000  0.0000  0.0000
K  0.0000  0.0000  0.5000
Ca  0.3333  0.6667  0.2500
Ca  0.6667  0.3333  0.7500
Dy  0.6667  0.3333  0.2500
Dy  0.3333  0.6667  0.7500
Cl  0.6362  0.6254  0.1389
Cl  0.9893  0.3638  0.1389
Cl  0.3638  0.9893  0.6389
Cl  0.0107  0.6362  0.8611
Cl  0.3746  0.3638  0.3611
Cl  0.9893  0.6254  0.3611
Cl  0.6254  0.9893  0.8611
Cl  0.6362  0.0107  0.3611
Cl  0.0107  0.3746  0.6389
Cl  0.3746  0.0107  0.1389
Cl  0.6254  0.6362  0.6389
Cl  0.3638  0.3746  0.8611

Summary:
The total DFT energy (no corrections) is -4.376 eV per atom. The value obtained for the volume is 295.8 Å³/f.u. The mass density is 2.551 g/cm3.



VASP calculation (GGA-PBE) on a geometry-optimized Al2Sn2Hg structure.

a = 4.7854 Å, b = 4.7854 Å, c = 6.6703 Å
α = 68.98°, β = 68.98°, γ = 90.00°
Element x y z (fractional)
Al  0.7500  0.2500  0.5000
Al  0.2500  0.7500  0.5000
Hg  0.0000  0.0000  0.0000
Sn  0.3776  0.3776  0.2449
Sn  0.6224  0.6224  0.7551

Summary:
The formation energy is 16.6 kJ per mole of atoms. The total DFT energy (no corrections) is -2.987 eV per atom. The value obtained for the energy above the most stable polymorph in this dataset is 28 meV per atom. The value obtained for the volume is 131.6 Å³/f.u. The mass density is 6.206 g/cm3.